# 1
This record from the Alexandria database describes a PBEsol-optimized structure of KPtRh. The functional is meta-GGA SCAN.

Cell: 2.7833 2.7833 7.4163 Å, 100.82 100.82 90.00°
Last column: magnetic moment on the atom in μB.
Fractional coordinates of all 3 atoms:
Rh1 0.3116 0.3116 0.6231  0.52
Pt1 0.6880 0.6880 0.3760  0.16
K1 0.0004 0.0004 0.0009  -0.01

Computed properties:
**Symmetry**: No. 107

---

# 2
This record from the Alexandria database describes a PBEsol-optimized structure of KPtRh2. The functional is meta-GGA SCAN.

Cell: 4.0263 4.0263 4.0144 Å, 90.00 90.00 90.00°
Fractional coordinates of all 4 atoms:
K1 0.5000 0.5000 0.5000
Rh1 0.5000 0.0000 0.0000
Rh2 0.0000 0.5000 0.0000
Pt1 0.0000 0.0000 0.5000

Computed properties:
**Symmetry**: No. 123
**Excess energy over the best structure of this formula in the dataset**: 439.1 meV per atom

---

# 3
This record from the Alexandria database describes a PBEsol-optimized structure of KPtRh2. The functional is meta-GGA SCAN.

Cell: 2.6932 4.9140 5.8362 Å, 114.90 103.34 90.00°
Last column: magnetic moment on the atom in μB.
Fractional coordinates of all 4 atoms:
Rh1 0.0049 0.0049 0.0098  0.66
K1 0.4975 0.4975 0.9951  0.00
Pt1 0.2793 0.7793 0.5586  0.33
Rh2 0.7183 0.2183 0.4365  0.92

Computed properties:
**Symmetry**: No. 44
**Excess energy over the best structure of this formula in the dataset**: 178.5 meV per atom

---

# 4
This record from the Alexandria database describes a PBEsol-optimized structure of KPt2Rh. The functional is meta-GGA SCAN.

Cell: 4.5744 4.5744 4.5744 Å, 60.00 60.00 60.00°
Last column: magnetic moment on the atom in μB.
Fractional coordinates of all 4 atoms:
K1 0.5000 0.5000 0.5000  0.01
Pt1 0.0000 0.0000 0.0000  0.53
Rh1 0.2500 0.2500 0.2500  1.08
Pt2 0.7500 0.7500 0.7500  0.26

Computed properties:
**Symmetry**: No. 216

---

# 5
This record from the Alexandria database describes a PBEsol-optimized structure of K2RuPt. The functional is meta-GGA SCAN.

Cell: 2.8332 2.8332 11.0678 Å, 82.65 82.65 60.00°
Last column: magnetic moment on the atom in μB.
Fractional coordinates of all 4 atoms:
Ru1 0.0000 0.0000 0.0000  1.09
K1 0.7513 0.7513 0.7461  -0.01
Pt1 0.5000 0.5000 0.5000  -0.01
K2 0.2487 0.2487 0.2539  -0.01

Computed properties:
**Symmetry**: No. 166

---

# 6
This record from the Alexandria database describes a PBEsol-optimized structure of KRuPt. The functional is meta-GGA SCAN.

Cell: 4.5282 4.5282 4.5282 Å, 60.00 60.00 60.00°
Last column: magnetic moment on the atom in μB.
Fractional coordinates of all 3 atoms:
Pt1 0.2500 0.2500 0.2500  0.49
Ru1 0.0000 0.0000 0.0000  2.13
K1 0.5000 0.5000 0.5000  0.00

Computed properties:
**Symmetry**: No. 216

---

# 7
This record from the Alexandria database describes a PBEsol-optimized structure of K2ScRuPt. The functional is meta-GGA SCAN.

Cell: 4.9868 5.7448 5.7448 Å, 90.00 90.00 90.00°
Last column: magnetic moment on the atom in μB.
Fractional coordinates of all 5 atoms:
Pt1 0.0000 0.0000 0.0000  0.01
K1 0.0000 0.0000 0.5000  -0.01
Sc1 0.5000 0.0000 0.0000  -0.35
K2 0.0000 0.5000 0.0000  -0.01
Ru1 0.5000 0.5000 0.5000  2.60

Computed properties:
**Symmetry**: No. 123

---

# 8
This record from the Alexandria database describes a PBEsol-optimized structure of KPtS3. The functional is meta-GGA SCAN.

Cell: 5.2414 5.2414 5.2414 Å, 90.00 90.00 90.00°
Last column: magnetic moment on the atom in μB.
Fractional coordinates of all 5 atoms:
K1 0.0000 0.0000 0.0000  0.08
S1 0.0000 0.5000 0.0000  0.89
S2 0.0000 0.0000 0.5000  0.89
Pt1 0.5000 0.5000 0.5000  0.92
S3 0.5000 0.0000 0.0000  0.89

Computed properties:
**Symmetry**: No. 221
**ΔE_f (raw)**: 9.6 eV per formula unit

---

# 9
This record from the Alexandria database describes a PBEsol-optimized structure of KTiPt2S. The functional is meta-GGA SCAN.

Cell: 4.7670 4.8110 4.8110 Å, 90.00 90.00 90.00°
Last column: magnetic moment on the atom in μB.
Fractional coordinates of all 5 atoms:
Ti1 0.5000 0.0000 0.0000  1.81
Pt1 0.0000 0.5000 0.0000  0.05
K1 0.0000 0.0000 0.0000  0.04
S1 0.5000 0.5000 0.5000  0.00
Pt2 0.0000 0.0000 0.5000  0.05

Computed properties:
**Symmetry**: No. 123
**ΔE_f (raw)**: 10.8 eV per formula unit

---

# 10
This record from the Alexandria database describes a PBEsol-optimized structure of KSbPt3. The functional is meta-GGA SCAN.

Cell: 4.9875 4.9875 4.9875 Å, 90.00 90.00 90.00°
Fractional coordinates of all 5 atoms:
K1 0.5000 0.5000 0.5000
Pt1 0.0000 0.0000 0.5000
Pt2 0.5000 0.0000 0.0000
Pt3 0.0000 0.5000 0.0000
Sb1 0.0000 0.0000 0.0000

Computed properties:
**Symmetry**: No. 221
**ΔE_f (raw)**: 1.7 eV per formula unit

---

# 11
This record from the Alexandria database describes a PBEsol-optimized structure of KSbPt. The functional is meta-GGA SCAN.

Cell: 4.4152 4.4152 5.2238 Å, 90.00 90.00 120.00°
Fractional coordinates of all 3 atoms:
K1 0.0000 0.0000 0.5000
Sb1 0.6667 0.3333 0.0000
Pt1 0.3333 0.6667 0.0000

Computed properties:
**Symmetry**: No. 187
**ΔE_f (raw)**: -1.6 eV per formula unit
**Excess energy over the best structure of this formula in the dataset**: 0.0 meV per atom

---

# 12
This record from the Alexandria database describes a PBEsol-optimized structure of KSb2Pt. The functional is meta-GGA SCAN.

Cell: 4.3176 5.0313 5.8529 Å, 102.34 90.00 90.00°
Fractional coordinates of all 4 atoms:
Sb1 0.0000 0.0062 0.8703
K1 0.0000 0.4038 0.4767
Pt1 0.5000 0.2862 0.0045
Sb2 0.5000 0.8037 0.1485

Computed properties:
**Symmetry**: No. 6
**ΔE_f (raw)**: -1.4 eV per formula unit
**Excess energy over the best structure of this formula in the dataset**: 259.1 meV per atom

---

Calculated raw total energy (Ha/atom), listed in the same order as above: -1.362, -1.314, -1.324, -1.651, -1.091, -1.345, -0.965, -0.719, -1.202, -1.870, -1.438, -1.419
Calculated DOS at the Fermi energy (states/eV per atom), listed in the same order as above: 0.909, 1.012, 1.006, 0.838, 0.505, 0.665, 0.715, 0.719, 0.682, 0.958, 0.694, 0.319